Record 1
Here is an optimized crystal structure of HoZr2Co9 from Alexandria. Energies are from PBE-GGA.

```
data_HoZr2Co9
_symmetry_space_group_name_H-M 'R -3 m'
_symmetry_Int_Tables_number 166
_symmetry_space_group_name_Hall '-R 3 2"'
_cell_length_a 4.8862
_cell_length_b 4.8862
_cell_length_c 23.8617
_cell_angle_alpha 90.00
_cell_angle_beta 90.00
_cell_angle_gamma 120.00
loop_
_atom_site_label
_atom_site_fract_x
_atom_site_fract_y
_atom_site_fract_z
_atom_site_occupancy
Ho1 0.0000 0.0000 0.0000 1
Zr1 0.0000 0.0000 0.1394 1
Co1 0.0000 0.0000 0.3355 1
Co2 0.0000 0.0000 0.5000 1
Co3 0.0055 0.5027 0.9161 1
```

Results
The energy of formation comes out at -248 meV per atom.

Record 2
Here is an optimized crystal structure of LaUFeC3 from Alexandria. Energies are from PBE-GGA.

```
data_LaUFeC3
_symmetry_space_group_name_H-M 'P 1 21/m 1'
_symmetry_Int_Tables_number 11
_cell_length_a 7.338
_cell_length_b 3.539
_cell_length_c 7.568
_cell_angle_alpha 90.00
_cell_angle_beta 98.33
_cell_angle_gamma 90.00
loop_
_symmetry_equiv_pos_as_xyz
'x,y,z'
'-x,-y,-z'
'-x,y+1/2,-z'
'x,-y+1/2,z'
loop_
_atom_site_label
_atom_site_fract_x
_atom_site_fract_y
_atom_site_fract_z
_atom_site_occupancy
La1 0.161 0.250 0.195 1
U1 0.354 0.750 0.828 1
Fe1 0.086 0.250 0.589 1
C1 0.145 0.250 0.846 1
C2 0.151 0.750 0.538 1
C3 0.434 0.750 0.129 1
```

Results
The energy of formation comes out at -11 meV per atom.

Record 3
Here is an optimized crystal structure of LiMgAgI4 from Alexandria. Energies are from PBE-GGA.

```
data_LiMgAgI4
_symmetry_space_group_name_H-M 'I m m a'
_symmetry_Int_Tables_number 74
_symmetry_space_group_name_Hall '-I 2b 2'
_cell_length_a 8.647
_cell_length_b 8.776
_cell_length_c 12.357
_cell_angle_alpha 90.00
_cell_angle_beta 90.00
_cell_angle_gamma 90.00
loop_
_atom_site_label
_atom_site_fract_x
_atom_site_fract_y
_atom_site_fract_z
_atom_site_occupancy
Li1 0.250 0.250 0.250 1
Mg1 0.000 0.000 0.000 1
Ag1 0.000 0.250 0.642 1
I1 0.000 0.020 0.235 1
I2 0.236 0.250 0.003 1
```

Results
The value obtained for the energy relative to the elements, uncorrected is -0.8425 eV/atom.

Record 4
Here is an optimized crystal structure of Y2TcW from Alexandria. Energies are from PBE-GGA.

```
data_Y2TcW
_symmetry_space_group_name_H-M 'P m m m'
_symmetry_Int_Tables_number 47
_cell_length_a 3.495
_cell_length_b 4.783
_cell_length_c 4.876
_cell_angle_alpha 90.00
_cell_angle_beta 90.00
_cell_angle_gamma 90.00
loop_
_symmetry_equiv_pos_as_xyz
'x,y,z'
'-x,-y,-z'
'-x,-y,z'
'x,y,-z'
'x,-y,-z'
'-x,y,z'
'-x,y,-z'
'x,-y,z'
loop_
_atom_site_label
_atom_site_fract_x
_atom_site_fract_y
_atom_site_fract_z
_atom_site_occupancy
Y1 0.000 0.000 0.000 1
Y2 0.500 0.000 0.500 1
Tc1 0.000 0.500 0.500 1
W1 0.500 0.500 0.000 1
```

Results
The energy of formation comes out at 562 meV per atom. The excess energy over the best structure of this formula in the dataset comes out at 0.486 eV per atom.

Record 5
Here is an optimized crystal structure of Sc5Te5H2 from Alexandria. Energies are from PBE-GGA.

```
data_Sc5Te5H2
_symmetry_space_group_name_H-M 'C 1 2/m 1'
_symmetry_Int_Tables_number 12
_cell_length_a 14.969
_cell_length_b 3.945
_cell_length_c 9.305
_cell_angle_alpha 90.00
_cell_angle_beta 93.35
_cell_angle_gamma 90.00
loop_
_symmetry_equiv_pos_as_xyz
'x,y,z'
'-x,-y,-z'
'-x,y,-z'
'x,-y,z'
'x+1/2,y+1/2,z'
'-x+1/2,-y+1/2,-z'
'-x+1/2,y+1/2,-z'
'x+1/2,-y+1/2,z'
loop_
_atom_site_label
_atom_site_fract_x
_atom_site_fract_y
_atom_site_fract_z
_atom_site_occupancy
Sc1 0.000 0.000 0.000 1
Sc2 0.085 0.500 0.230 1
Sc3 0.134 0.000 0.653 1
Te1 0.000 0.500 0.500 1
Te2 0.124 0.500 0.906 1
Te3 0.214 0.000 0.355 1
H1 0.044 0.000 0.204 1
```

Record 6
Here is an optimized crystal structure of Nd6SmTe8 from Alexandria. Energies are from PBE-GGA.

```
data_Nd6SmTe8
_symmetry_space_group_name_H-M 'F m -3 m'
_symmetry_Int_Tables_number 225
_symmetry_space_group_name_Hall '-F 4 2 3'
_cell_length_a 12.669
_cell_length_b 12.669
_cell_length_c 12.669
_cell_angle_alpha 90.00
_cell_angle_beta 90.00
_cell_angle_gamma 90.00
loop_
_atom_site_label
_atom_site_fract_x
_atom_site_fract_y
_atom_site_fract_z
_atom_site_occupancy
Nd1 0.000 0.250 0.250 1
Sm1 0.000 0.000 0.000 1
Te1 0.000 0.000 0.253 1
Te2 0.250 0.250 0.250 1
```

Results
The value obtained for the energy relative to the elements, uncorrected is -1.4576 eV/atom.

Record 7
Here is an optimized crystal structure of Dy2YZn from Alexandria. Energies are from PBE-GGA.

```
data_Dy2YZn
_symmetry_space_group_name_H-M 'P 4/m m m'
_symmetry_Int_Tables_number 123
_symmetry_space_group_name_Hall '-P 4 2'
_cell_length_a 3.573
_cell_length_b 3.573
_cell_length_c 8.612
_cell_angle_alpha 90.00
_cell_angle_beta 90.00
_cell_angle_gamma 90.00
loop_
_atom_site_label
_atom_site_fract_x
_atom_site_fract_y
_atom_site_fract_z
_atom_site_occupancy
Dy1 0.000 0.000 0.205 1
Y1 0.500 0.500 0.500 1
Zn1 0.500 0.500 0.000 1
```

Results
The energy of formation comes out at -163 meV per atom. The excess energy over the best structure of this formula in the dataset comes out at 0.000 eV per atom.

Record 8
Here is an optimized crystal structure of TaVSi4 from Alexandria. Energies are from PBE-GGA.

```
data_TaVSi4
_symmetry_space_group_name_H-M 'C 1 2/m 1'
_symmetry_Int_Tables_number 12
_cell_length_a 8.642
_cell_length_b 3.219
_cell_length_c 6.436
_cell_angle_alpha 90.00
_cell_angle_beta 111.80
_cell_angle_gamma 90.00
loop_
_symmetry_equiv_pos_as_xyz
'x,y,z'
'-x,-y,-z'
'-x,y,-z'
'x,-y,z'
'x+1/2,y+1/2,z'
'-x+1/2,-y+1/2,-z'
'-x+1/2,y+1/2,-z'
'x+1/2,-y+1/2,z'
loop_
_atom_site_label
_atom_site_fract_x
_atom_site_fract_y
_atom_site_fract_z
_atom_site_occupancy
Ta1 0.000 0.000 0.000 1
V1 0.000 0.000 0.500 1
Si1 0.165 0.500 0.820 1
Si2 0.167 0.500 0.344 1
```

Results
The value obtained for the energy relative to the elements, uncorrected is -0.3920 eV/atom. The excess energy over the best structure of this formula in the dataset comes out at 0.069 eV per atom.

Computed final energy (eV per atom) in order:
-7.38, -8.74, -2.64, -8.50, -5.42, -5.35, -4.40, -7.50
Computed calculated volume (A^3/atom) in order:
13.7, 16.2, 33.5, 20.4, 22.9, 33.9, 27.5, 13.9